# 1
Below is an optimized crystal structure of Zr2HgCl, with properties calculated at the PBE-GGA level.

Cell and atoms, written as extended XYZ:
```
8
Lattice="-0.7664 2.3853 -3.5586 -3.6979 -2.1936 -0.6739 -7.2011 6.7695 3.4269" Properties=species:S:1:pos:R:3 pbc="T T T"
Cl -6.5656 2.3359 0.3184
Cl -2.2322 0.0959 -2.1163
Hg 0.0000 0.0000 0.0000
Hg -5.0998 4.6253 -1.1240
Zr -4.2099 0.6278 -0.0217
Zr -7.0877 5.1414 0.9807
Zr -2.7388 2.9007 -1.4393
Zr -9.2942 5.2525 -1.1310
```

Results
VASP energy in eV per atom: -4.773
Space group: I-42d

---

# 2
Below is an optimized crystal structure of YAgBr, with properties calculated at the PBE-GGA level.

Cell and atoms, written as extended XYZ:
```
3
Lattice="4.9380 0.0000 0.0000 -2.4690 4.2764 0.0000 0.0000 0.0000 3.7429" Properties=species:S:1:pos:R:3 pbc="T T T"
Ag 0.0000 0.0000 3.7404
Br 2.4690 1.4255 1.8715
Y 0.0000 2.8509 1.8738
```

Results
VASP energy in eV per atom: -4.138
Space group: P-6m2

---

The records above yield formation energy (no corrections) values of 38; -475 meV/atom, respectively.